# 1
A plane-wave DFT calculation with PBE was carried out for a relaxed structure of TmGa4Ir.

abc: 11.8766 5.7333 7.2150
angles: 90.00 96.99 90.00
Space group C2/c (No. 15)
Symmetry-distinct sites (fractional):
Tm1 0.0000 0.1093 0.2500 (multiplicity 4)
Ga1 0.0510 0.3620 0.9108 (multiplicity 8)
Ga2 0.2244 0.3755 0.6643 (multiplicity 8)
Ir1 0.2500 0.2500 0.0000 (multiplicity 4)

Values from the calculation:
Energy of formation: -0.267 eV per atom
Uncorrected energy: -4.507 eV/atom
Density of states at the Fermi level: 12.68 states/eV/cell
Magnetization: 0.0 μB/cell

***

# 2
A plane-wave DFT calculation with PBE was carried out for a relaxed structure of TmGa3Ir3.

abc: 6.7365 6.7365 6.7365
angles: 90.00 90.00 90.00
Space group Pm-3n (No. 223)
Symmetry-distinct sites (fractional):
Tm1 0.0000 0.0000 0.0000 (multiplicity 2)
Ga1 0.0000 0.2500 0.5000 (multiplicity 6)
Ir1 0.0000 0.5000 0.2500 (multiplicity 6)

Values from the calculation:
Energy of formation: 0.119 eV per atom
Uncorrected energy: -5.614 eV/atom
Density of states at the Fermi level: 9.04 states/eV/cell
Magnetization: 0.0 μB/cell

***

# 3
A plane-wave DFT calculation with PBE was carried out for a relaxed structure of YTmGaIr.

abc: 6.9685 6.9685 6.9685
angles: 90.00 90.00 90.00
Space group F-43m (No. 216)
Symmetry-distinct sites (fractional):
Y1 0.0000 0.0000 0.0000 (multiplicity 4)
Tm1 0.0000 0.0000 0.5000 (multiplicity 4)
Ga1 0.2500 0.2500 0.7500 (multiplicity 4)
Ir1 0.2500 0.2500 0.2500 (multiplicity 4)

Values from the calculation:
Energy of formation: -0.706 eV per atom
Uncorrected energy: -6.411 eV/atom
Relative energy among the computed polymorphs: 58 meV per atom
Density of states at the Fermi level: 8.62 states/eV/cell
Magnetization: 0.0 μB/cell

***

# 4
A plane-wave DFT calculation with PBE was carried out for a relaxed structure of YTmGaIr.

abc: 4.2376 3.9245 10.6919
angles: 90.00 90.00 90.00
Space group Amm2 (No. 38)
Symmetry-distinct sites (fractional):
Y1 0.0000 0.0000 0.0000 (multiplicity 2)
Tm1 0.5000 0.0000 0.7161 (multiplicity 2)
Ga1 0.5000 0.0000 0.4248 (multiplicity 2)
Ir1 0.0000 0.0000 0.2790 (multiplicity 2)

Values from the calculation:
Energy of formation: -0.764 eV per atom
Uncorrected energy: -6.470 eV/atom
Relative energy among the computed polymorphs: 0 meV per atom
Density of states at the Fermi level: 5.54 states/eV/cell
Magnetization: 0.0 μB/cell

***

# 5
A plane-wave DFT calculation with PBE was carried out for a relaxed structure of Tm2ZnGa2Ir5.

abc: 9.6388 9.6388 3.5887
angles: 90.00 90.00 90.00
Space group P4/mbm (No. 127)
Symmetry-distinct sites (fractional):
Tm1 0.1731 0.3269 0.0000 (multiplicity 4)
Zn1 0.0000 0.0000 0.0000 (multiplicity 2)
Ga1 0.1272 0.6272 0.0000 (multiplicity 4)
Ir1 0.0000 0.5000 0.5000 (multiplicity 2)
Ir2 0.0642 0.7986 0.5000 (multiplicity 8)

Values from the calculation:
Energy of formation: -0.578 eV per atom
Uncorrected energy: -6.636 eV/atom
Density of states at the Fermi level: 14.47 states/eV/cell
Magnetization: 0.0 μB/cell

***

# 6
A plane-wave DFT calculation with PBE was carried out for a relaxed structure of TmZrGaIr.

abc: 6.7957 6.7957 6.7957
angles: 90.00 90.00 90.00
Space group F-43m (No. 216)
Symmetry-distinct sites (fractional):
Tm1 0.0000 0.0000 0.0000 (multiplicity 4)
Zr1 0.0000 0.0000 0.5000 (multiplicity 4)
Ga1 0.2500 0.2500 0.2500 (multiplicity 4)
Ir1 0.2500 0.2500 0.7500 (multiplicity 4)

Values from the calculation:
Energy of formation: -0.614 eV per atom
Uncorrected energy: -6.841 eV/atom
Density of states at the Fermi level: 13.54 states/eV/cell
Magnetization: 0.0 μB/cell

***

# 7
A plane-wave DFT calculation with PBE was carried out for a relaxed structure of U2Ga9Ir3.

abc: 13.1734 7.6854 9.4263
angles: 90.00 90.00 90.00
Space group Cmcm (No. 63)
Symmetry-distinct sites (fractional):
U1 0.1641 0.1644 0.2500 (multiplicity 8)
Ga1 0.0000 0.1307 0.7500 (multiplicity 4)
Ga2 0.0000 0.3333 0.0684 (multiplicity 8)
Ga3 0.1036 0.4424 0.7500 (multiplicity 8)
Ga4 0.1673 0.1687 0.5787 (multiplicity 16)
Ir1 0.0000 0.0000 0.0000 (multiplicity 4)
Ir2 0.1713 0.5000 0.0000 (multiplicity 8)

Values from the calculation:
Energy of formation: -0.432 eV per atom
Uncorrected energy: -5.889 eV/atom
Density of states at the Fermi level: 68.78 states/eV/cell
Magnetization: 17.8 μB/cell

***

# 8
A plane-wave DFT calculation with PBE was carried out for a relaxed structure of UGa3Ir.

abc: 6.4287 6.4287 6.4287
angles: 90.00 90.00 90.00
Space group Pm-3m (No. 221)
Symmetry-distinct sites (fractional):
U1 0.0000 0.0000 0.5000 (multiplicity 3)
Ga1 0.0000 0.0000 0.0000 (multiplicity 1)
Ga2 0.2838 0.2838 0.2838 (multiplicity 8)
Ir1 0.0000 0.5000 0.5000 (multiplicity 3)

Values from the calculation:
Energy of formation: -0.401 eV per atom
Uncorrected energy: -6.247 eV/atom
Density of states at the Fermi level: 20.46 states/eV/cell
Magnetization: 3.4 μB/cell

***

Q: What is the density of states at the Fermi level in the seventh record?
A: 68.78 states/eV/cell

***

Q: The highest density of states at the Fermi level belongs to which entry?
A: U2Ga9Ir3